1.
4
Lattice="0.0000 3.1975 3.1975 3.1975 0.0000 3.1975 3.1975 3.1975 0.0000" Properties=species:S:1:pos:R:3 comment="TmVIrRu (PBE, relaxed)" vol_a3_per_cell=65 ef_ev_per_atom=-0.327 dos_ef_per_ev_cell=4.5 m_tot_mub_per_cell=0.80 pbc="T T T"
Tm 0.0000 0.0000 0.0000
V 3.1975 3.1975 3.1975
Ir 1.5987 1.5987 1.5987
Ru 4.7962 4.7962 4.7962

---

2.
8
Lattice="-2.8009 2.8009 6.8255 2.8009 -2.8009 6.8255 2.8009 2.8009 -6.8255" Properties=species:S:1:pos:R:3 comment="Cu2HgTe (PBE, relaxed)" vol_a3_per_cell=214 dos_ef_per_ev_cell=0.0 m_tot_mub_per_cell=0.00 raw_formation_energy_mev_per_atom=153 pbc="T T T"
Cu 4.2013 1.1544 -1.7064
Cu 1.1544 1.4004 1.7064
Cu -1.4004 1.6465 5.1191
Cu 1.6465 1.4004 8.5319
Hg 2.8009 0.0000 3.4128
Hg 0.0000 0.0000 6.8255
Te 0.0000 0.0000 0.0000
Te 0.0000 2.8009 3.4128

---

3.
3
Lattice="-1.3362 1.3362 5.5801 1.3362 -1.3362 5.5801 1.3362 1.3362 -5.5801" Properties=species:S:1:pos:R:3 comment="CrRu2 (PBE, relaxed)" vol_a3_per_cell=40 ef_ev_per_atom=0.125 dos_ef_per_ev_cell=4.5 m_tot_mub_per_cell=0.00 pbc="T T T"
Cr 0.0000 0.0000 0.0000
Ru 0.0000 0.0000 3.7846
Ru 0.0000 0.0000 7.3755

---

4.
4
Lattice="0.0000 4.0095 4.0095 4.0095 0.0000 4.0095 4.0095 4.0095 0.0000" Properties=species:S:1:pos:R:3 comment="CsTlZn2 (PBE, relaxed)" vol_a3_per_cell=129 ef_ev_per_atom=0.267 dos_ef_per_ev_cell=2.5 m_tot_mub_per_cell=0.00 pbc="T T T"
Cs 0.0000 0.0000 0.0000
Tl 4.0095 4.0095 4.0095
Zn 2.0048 2.0048 2.0048
Zn 6.0143 6.0143 6.0143

---

Repeat the fourth record exactly.
4
Lattice="0.0000 4.0095 4.0095 4.0095 0.0000 4.0095 4.0095 4.0095 0.0000" Properties=species:S:1:pos:R:3 comment="CsTlZn2 (PBE, relaxed)" vol_a3_per_cell=129 ef_ev_per_atom=0.267 dos_ef_per_ev_cell=2.5 m_tot_mub_per_cell=0.00 pbc="T T T"
Cs 0.0000 0.0000 0.0000
Tl 4.0095 4.0095 4.0095
Zn 2.0048 2.0048 2.0048
Zn 6.0143 6.0143 6.0143